Record 1
{"formula": "LiSmMgTe3", "functional": "PBE-GGA", "state": "relaxed", "volume_a3_per_fu": 187.1, "final_energy_ha_per_atom": -0.14658, "cell": [[2.1882, -7.1679, 0.0000], [2.1882, 7.1679, 0.0000], [0.0000, 0.0000, 11.9269]], "species": ["Li", "Li", "Sm", "Sm", "Mg", "Mg", "Te", "Te", "Te", "Te", "Te", "Te"], "fractional_positions": [[0.2268, 0.7732, 0.7500], [0.7732, 0.2268, 0.2500], [0.0000, 0.0000, 0.0000], [0.0000, 0.0000, 0.5000], [0.4798, 0.5202, 0.2500], [0.5202, 0.4798, 0.7500], [0.1000, 0.9000, 0.2500], [0.3561, 0.6439, 0.0730], [0.3561, 0.6439, 0.4270], [0.6439, 0.3561, 0.5730], [0.6439, 0.3561, 0.9270], [0.9000, 0.1000, 0.7500]]}

Record 2
{"formula": "LiSmMgZn", "functional": "PBE-GGA", "state": "relaxed", "volume_a3_per_fu": 83.5, "final_energy_ha_per_atom": -0.09470, "cell": [[0.0000, 3.4688, 3.4688], [3.4688, 0.0000, 3.4688], [3.4688, 3.4688, 0.0000]], "species": ["Li", "Sm", "Mg", "Zn"], "fractional_positions": [[0.0000, 0.0000, 0.0000], [0.7500, 0.7500, 0.7500], [0.2500, 0.2500, 0.2500], [0.5000, 0.5000, 0.5000]]}

Record 3
{"formula": "LiTbMgTe3", "functional": "PBE-GGA", "state": "relaxed", "volume_a3_per_fu": 184.8, "final_energy_ha_per_atom": -0.14591, "cell": [[2.1789, -7.2572, 0.0000], [2.1789, 7.2572, 0.0000], [0.0000, 0.0000, 11.6892]], "species": ["Li", "Li", "Tb", "Tb", "Mg", "Mg", "Te", "Te", "Te", "Te", "Te", "Te"], "fractional_positions": [[0.2083, 0.7917, 0.7500], [0.7917, 0.2083, 0.2500], [0.0000, 0.0000, 0.0000], [0.0000, 0.0000, 0.5000], [0.4840, 0.5160, 0.2500], [0.5160, 0.4840, 0.7500], [0.1007, 0.8993, 0.2500], [0.3598, 0.6402, 0.0708], [0.3598, 0.6402, 0.4292], [0.6402, 0.3598, 0.5708], [0.6402, 0.3598, 0.9292], [0.8993, 0.1007, 0.7500]]}

Record 4
{"formula": "LiThMg", "functional": "PBE-GGA", "state": "relaxed", "volume_a3_per_fu": 80.2, "relative_energy_mev_per_atom": 0, "final_energy_ha_per_atom": -0.11349, "cell": [[0.0000, 3.4230, 3.4230], [3.4230, 0.0000, 3.4230], [3.4230, 3.4230, 0.0000]], "species": ["Li", "Th", "Mg"], "fractional_positions": [[0.0000, 0.0000, 0.0000], [0.2500, 0.2500, 0.2500], [0.7500, 0.7500, 0.7500]]}

Record 5
{"formula": "Li4MgTl2Zn", "functional": "PBE-GGA", "state": "relaxed", "volume_a3_per_fu": 146.5, "final_energy_ha_per_atom": -0.07725, "cell": [[4.6367, 0.0000, 0.0000], [0.0000, 4.6367, 0.0000], [0.0000, 0.0000, 6.8127]], "species": ["Li", "Li", "Li", "Li", "Mg", "Tl", "Tl", "Zn"], "fractional_positions": [[0.0000, 0.0000, 0.0000], [0.0000, 0.5000, 0.2247], [0.5000, 0.0000, 0.7753], [0.5000, 0.5000, 0.5000], [0.0000, 0.0000, 0.5000], [0.0000, 0.5000, 0.7597], [0.5000, 0.0000, 0.2403], [0.5000, 0.5000, 0.0000]]}

Record 6
{"formula": "LiMgW2", "functional": "PBE-GGA", "state": "relaxed", "volume_a3_per_fu": 63.3, "final_energy_ha_per_atom": -0.25033, "cell": [[0.0000, 3.1640, 3.1640], [3.1640, 0.0000, 3.1640], [3.1640, 3.1640, 0.0000]], "species": ["Li", "Mg", "W", "W"], "fractional_positions": [[0.0000, 0.0000, 0.0000], [0.2500, 0.2500, 0.2500], [0.5000, 0.5000, 0.5000], [0.7500, 0.7500, 0.7500]]}